This record from Alexandria describes SrTmAgF6 after structural relaxation. The functional is PBE.

**Symmetry**: P-31c
**Spin magnetization**: 0.28 μB/cell
**VASP energy**: -5.601 eV/atom
**D(E_F)**: 0.000 states/eV/atom

Lattice parameters (Å, degrees): 5.981 5.981 10.444 90.00 90.00 120.00
Positions (direct):
Sr (0.000, 0.000, 0.000)
Sr (0.000, 0.000, 0.500)
Tm (0.333, 0.667, 0.250)
Tm (0.667, 0.333, 0.750)
Ag (0.333, 0.667, 0.750)
Ag (0.667, 0.333, 0.250)
F (0.045, 0.359, 0.134)
F (0.045, 0.687, 0.366)
F (0.313, 0.359, 0.366)
F (0.313, 0.955, 0.134)
F (0.359, 0.045, 0.634)
F (0.359, 0.313, 0.866)
F (0.641, 0.687, 0.134)
F (0.641, 0.955, 0.366)
F (0.687, 0.045, 0.866)
F (0.687, 0.641, 0.634)
F (0.955, 0.313, 0.634)
F (0.955, 0.641, 0.866)